Entry 1:
# TbDy6Ho3

A relaxed TbDy6Ho3 crystal (PBE-GGA, the Alexandria database).

Output
ρ: 8.52 Mg/m³
Energy relative to the lowest polymorph listed for this composition: 0.245 eV per formula unit

Lattice parameters (Å, degrees): 10.9439 18.8566 6.1520 90.00 90.00 90.00
Space group Cmc2_1 (No. 36)
Unique sites:
Tb (0.0000, 0.2061, 0.0000)
Dy (0.0000, 0.0468, 0.7707)
Dy (0.0000, 0.2819, 0.4984)
Dy (0.1645, 0.4541, 0.3896)
Dy (0.2470, 0.2902, 0.2175)
Ho (0.0000, 0.3895, 0.9258)
Ho (0.1709, 0.1096, 0.3115)

=====

Entry 2:
# TbDy4Ho

A relaxed TbDy4Ho crystal (PBE-GGA, the Alexandria database).

Output
ρ: 8.63 Mg/m³
Energy relative to the lowest polymorph listed for this composition: 0.000 eV per formula unit

Lattice parameters (Å, degrees): 3.5259 6.1248 9.3550 77.34 79.26 73.45
Space group P-1 (No. 2)
Unique sites:
Tb (0.0000, 0.0000, 0.0000)
Dy (0.3333, 0.9996, 0.3339)
Dy (0.3335, 0.5003, 0.8328)
Ho (0.0000, 0.5000, 0.5000)

=====

Entry 3:
# Tb3DyHo3

A relaxed Tb3DyHo3 crystal (PBE-GGA, the Alexandria database).

Output
ρ: 8.50 Mg/m³
Energy relative to the lowest polymorph listed for this composition: 0.000 eV per formula unit

Lattice parameters (Å, degrees): 9.5254 9.5254 5.6363 90.00 90.00 120.00
Space group P6_3/m (No. 176)
Unique sites:
Tb (0.0479, 0.2391, 0.2500)
Dy (0.3333, 0.6667, 0.2500)
Ho (0.0951, 0.4765, 0.7500)

=====

Entry 4:
# Tb3DyHo3

A relaxed Tb3DyHo3 crystal (PBE-GGA, the Alexandria database).

Output
ρ: 8.18 Mg/m³
Energy relative to the lowest polymorph listed for this composition: 0.950 eV per formula unit

Lattice parameters (Å, degrees): 6.1393 6.1393 42.3413 90.00 90.00 120.00
Space group R-3 (No. 148, hexagonal axes)
Unique sites:
Tb (0.0001, 0.3313, 0.1325)
Dy (0.0000, 0.0000, 0.3333)
Ho (0.0004, 0.3332, 0.2672)

=====

Entry 5:
# Tb2DyHo9

A relaxed Tb2DyHo9 crystal (PBE-GGA, the Alexandria database).

Output
ρ: 8.78 Mg/m³
Energy relative to the lowest polymorph listed for this composition: 0.000 eV per formula unit

Lattice parameters (Å, degrees): 4.9849 4.9849 14.9462 90.00 90.00 90.00
Space group P4/mmm (No. 123)
Unique sites:
Tb (0.0000, 0.0000, 0.1668)
Dy (0.0000, 0.0000, 0.5000)
Ho (0.0000, 0.5000, 0.0000)
Ho (0.0000, 0.5000, 0.3336)
Ho (0.5000, 0.5000, 0.1668)
Ho (0.5000, 0.5000, 0.5000)

=====

Entry 6:
# Tb7DyHo12

A relaxed Tb7DyHo12 crystal (PBE-GGA, the Alexandria database).

Output
ρ: 8.52 Mg/m³

Lattice parameters (Å, degrees): 12.7246 12.7246 13.5712 90.00 90.00 120.00
Space group R-3 (No. 148, hexagonal axes)
Unique sites:
Tb (0.0000, 0.0000, 0.0000)
Tb (0.0684, 0.2003, 0.3465)
Dy (0.0000, 0.0000, 0.5000)
Ho (0.0002, 0.4357, 0.2495)
Ho (0.0683, 0.8675, 0.8489)

=====

Entry 7:
# Tb3Dy8Ho2

A relaxed Tb3Dy8Ho2 crystal (PBE-GGA, the Alexandria database).

Output
ρ: 8.21 Mg/m³

Lattice parameters (Å, degrees): 20.0470 7.6034 5.5917 90.00 90.02 90.00
Space group C2/m (No. 12)
Unique sites:
Tb (0.0000, 0.0000, 0.0000)
Tb (0.0000, 0.2868, 0.5000)
Dy (0.1082, 0.2896, 0.0002)
Dy (0.1333, 0.0000, 0.4998)
Dy (0.1690, 0.5000, 0.5005)
Ho (0.2413, 0.0000, 0.9994)

=====

Entry 8:
# Tb4Dy7Ho

A relaxed Tb4Dy7Ho crystal (PBE-GGA, the Alexandria database).

Output
ρ: 8.24 Mg/m³
Energy relative to the lowest polymorph listed for this composition: 2.371 eV per formula unit

Lattice parameters (Å, degrees): 11.9764 5.8618 12.6256 90.00 118.22 90.00
Space group C2/m (No. 12)
Unique sites:
Tb (0.0610, 0.0000, 0.3223)
Tb (0.1370, 0.5000, 0.7761)
Dy (0.0000, 0.0000, 0.0000)
Dy (0.1334, 0.5000, 0.5010)
Dy (0.2118, 0.0000, 0.9237)
Dy (0.2451, 0.0000, 0.6817)
Ho (0.0000, 0.5000, 0.0000)

=====

Entry 9:
# Tb6Dy2Ho3

A relaxed Tb6Dy2Ho3 crystal (PBE-GGA, the Alexandria database).

Output
ρ: 8.55 Mg/m³
Energy relative to the lowest polymorph listed for this composition: 0.000 eV per formula unit

Lattice parameters (Å, degrees): 3.5407 3.5407 95.1374 90.00 90.00 120.00
Space group R-3m (No. 166, hexagonal axes)
Unique sites:
Tb (0.0000, 0.0000, 0.0907)
Tb (0.0000, 0.0000, 0.1819)
Tb (0.0000, 0.0000, 0.3636)
Dy (0.0000, 0.0000, 0.4544)
Ho (0.0000, 0.0000, 0.0000)
Ho (0.0000, 0.0000, 0.2729)

=====

Entry 10:
# Tb2Dy2Ho

A relaxed Tb2Dy2Ho crystal (PBE-GGA, the Alexandria database).

Output
ρ: 8.43 Mg/m³
Energy relative to the lowest polymorph listed for this composition: 0.217 eV per formula unit

Lattice parameters (Å, degrees): 3.5804 5.6442 31.5013 90.00 90.00 90.00
Space group Imma (No. 74)
Unique sites:
Tb (0.0000, 0.2500, 0.0219)
Tb (0.0000, 0.2500, 0.1205)
Dy (0.0000, 0.2500, 0.2920)
Dy (0.0000, 0.2500, 0.8063)
Ho (0.0000, 0.2500, 0.5785)

=====

Entry 11:
# Tb4Dy2Ho

A relaxed Tb4Dy2Ho crystal (PBE-GGA, the Alexandria database).

Output
ρ: 8.42 Mg/m³
Energy relative to the lowest polymorph listed for this composition: 0.000 eV per formula unit

Lattice parameters (Å, degrees): 16.7073 3.5154 8.7012 90.00 119.63 90.00
Space group C2/m (No. 12)
Unique sites:
Tb (0.1407, 0.0000, 0.3368)
Tb (0.2040, 0.0000, 0.7934)
Dy (0.0703, 0.5000, 0.9298)
Ho (0.0000, 0.5000, 0.5000)

=====

Entry 12:
# TbDy12Ho3

A relaxed TbDy12Ho3 crystal (PBE-GGA, the Alexandria database).

Output
ρ: 8.67 Mg/m³

Lattice parameters (Å, degrees): 4.9971 4.9971 19.9647 90.00 90.00 90.00
Space group P4/mmm (No. 123)
Unique sites:
Tb (0.0000, 0.0000, 0.0000)
Dy (0.0000, 0.5000, 0.1254)
Dy (0.0000, 0.5000, 0.3751)
Dy (0.5000, 0.5000, 0.0000)
Dy (0.5000, 0.5000, 0.2504)
Dy (0.5000, 0.5000, 0.5000)
Ho (0.0000, 0.0000, 0.2503)
Ho (0.0000, 0.0000, 0.5000)

=====

Number 1: energy -177.944 eV/cell, formation enthalpy at 0 K 0.15 eV/atom. Number 2: energy -27.508 eV/cell, formation enthalpy at 0 K 0.02 eV/atom. Number 3: energy -64.319 eV/cell, formation enthalpy at 0 K 0.01 eV/atom. Number 4: energy -187.257 eV/cell, formation enthalpy at 0 K 0.15 eV/atom. Number 5: energy -54.808 eV/cell, formation enthalpy at 0 K 0.02 eV/atom. Number 6: energy -258.062 eV/cell, formation enthalpy at 0 K 0.30 eV/atom. Number 7: energy -113.556 eV/cell, formation enthalpy at 0 K 0.24 eV/atom. Number 8: energy -103.764 eV/cell, formation enthalpy at 0 K 0.29 eV/atom. Number 9: energy -151.603 eV/cell, formation enthalpy at 0 K 0.02 eV/atom. Number 10: energy -89.384 eV/cell, formation enthalpy at 0 K 0.14 eV/atom. Number 11: energy -64.054 eV/cell, formation enthalpy at 0 K 0.04 eV/atom. Number 12: energy -73.294 eV/cell, formation enthalpy at 0 K 0.02 eV/atom.